# AcCe2VO8 (PBE with a Hubbard U, relaxed)
data_AcCe2VO8
_chemical_formula_sum 'Ac1 Ce2 V1 O8'
_symmetry_space_group_name_H-M 'P -1'
_symmetry_Int_Tables_number 2
_cell_length_a 5.0859
_cell_length_b 5.0951
_cell_length_c 7.0498
_cell_angle_alpha 89.84
_cell_angle_beta 89.85
_cell_angle_gamma 88.73
loop_
_symmetry_equiv_pos_as_xyz
'x,y,z'
'-x,-y,-z'
loop_
_atom_site_label
_atom_site_fract_x
_atom_site_fract_y
_atom_site_fract_z
_atom_site_occupancy
Ac1 0.0000 0.0000 0.0000 1
Ce1 0.4986 0.4986 0.2629 1
V1 0.0000 0.0000 0.5000 1
O1 0.1830 0.8154 0.6958 1
O2 0.1844 0.8169 0.3042 1
O3 0.2774 0.2770 0.5002 1
O4 0.3289 0.3274 0.9997 1
# **Energy**: -0.5940 Ry per atom
# **Spin magnetization**: 0.000 μB/cell
# **Theoretical density**: 6.239 g/cm3